DFT (GGA+U) results for an optimized crystal structure of CaMoIr2F.

Computed properties:
The value obtained for the total energy is -4.657 eV/atom. Its space group is P4/mmm, No. 123. The mass density is 8.80 g cm⁻³.

```
CaMoIr2F
1.0
5.059 0.000 0.000
0.000 5.059 0.000
0.000 0.000 3.976
Ca Mo Ir F
1 1 2 1
direct
0.000 0.000 0.000
0.500 0.500 0.500
0.000 0.500 0.000
0.500 0.000 0.000
0.000 0.000 0.500
```